Density functional theory data (GGA+U) for a relaxed structure of Ag4Mo2O.

Cell: 4.352 4.352 8.256 Å, 74.72 74.72 90.00°
Fractional coordinates of all 7 atoms:
Mo: 0.657 0.657 0.687
Mo: 0.343 0.343 0.313
O: 0.000 0.000 0.000
Ag: 0.842 0.842 0.316
Ag: 0.158 0.158 0.684
Ag: 0.000 0.500 0.000
Ag: 0.500 0.000 0.000

* density: 7.32 g/cm³
* M_tot: 1.3289 μB per atom
* E: -3.620 eV/atom